1.
# KHgPb

A geometry-optimized KHgPb structure (PBEsol, the Alexandria database).

Summary:
The value obtained for the density of states at the Fermi level is 0.30 states/eV per atom. As for the energy of formation: -175.0 meV/atom. Its calculated total energy is -2.075 eV/atom. The calculation puts the density at 8.4 g/cm³. The total moment is 0.00 μB/cell.

CIF file:
```
data_KHgPb
_chemical_formula_sum 'K1 Hg1 Pb1'
_cell_length_a 5.2511
_cell_length_b 5.2511
_cell_length_c 3.7127
_cell_angle_alpha 90.00
_cell_angle_beta 90.00
_cell_angle_gamma 120.00
_symmetry_space_group_name_H-M 'P 1'
_symmetry_Int_Tables_number 1
_symmetry_space_group_name_Hall 'P 1'
loop_
_atom_site_label
_atom_site_type_symbol
_atom_site_fract_x
_atom_site_fract_y
_atom_site_fract_z
_atom_site_occupancy
K1 K 0.0000 0.0000 0.0000 1
Hg1 Hg 0.6667 0.3333 0.5000 1
Pb1 Pb 0.3333 0.6667 0.5000 1
```


2.
# KHg2Pb

A geometry-optimized KHg2Pb structure (PBEsol, the Alexandria database).

Summary:
The value obtained for the density of states at the Fermi level is 0.42 states/eV per atom. As for the energy of formation: -137.5 meV/atom. Its calculated total energy is -1.704 eV/atom. The calculation puts the density at 9.3 g/cm³. The total moment is 0.00 μB/cell.

CIF file:
```
data_KHg2Pb
_chemical_formula_sum 'K1 Hg2 Pb1'
_cell_length_a 3.5859
_cell_length_b 3.6974
_cell_length_c 8.7270
_cell_angle_alpha 90.00
_cell_angle_beta 90.00
_cell_angle_gamma 90.00
_symmetry_space_group_name_H-M 'P 1'
_symmetry_Int_Tables_number 1
_symmetry_space_group_name_Hall 'P 1'
loop_
_atom_site_label
_atom_site_type_symbol
_atom_site_fract_x
_atom_site_fract_y
_atom_site_fract_z
_atom_site_occupancy
K1 K 0.0000 0.0000 0.0000 1
Hg1 Hg 0.5000 0.5000 0.2703 1
Hg2 Hg 0.5000 0.5000 0.7297 1
Pb1 Pb 0.0000 0.0000 0.5000 1
```


3.
# KHg2Pb

A geometry-optimized KHg2Pb structure (PBEsol, the Alexandria database).

Summary:
The value obtained for the density of states at the Fermi level is 0.37 states/eV per atom. As for the energy of formation: -102.7 meV/atom. Its calculated total energy is -1.669 eV/atom. The calculation puts the density at 9.6 g/cm³. The total moment is 0.00 μB/cell.

CIF file:
```
data_KHg2Pb
_chemical_formula_sum 'K2 Hg4 Pb2'
_cell_length_a 7.6689
_cell_length_b 7.6990
_cell_length_c 3.8052
_cell_angle_alpha 90.00
_cell_angle_beta 90.00
_cell_angle_gamma 90.00
_symmetry_space_group_name_H-M 'P 1'
_symmetry_Int_Tables_number 1
_symmetry_space_group_name_Hall 'P 1'
loop_
_atom_site_label
_atom_site_type_symbol
_atom_site_fract_x
_atom_site_fract_y
_atom_site_fract_z
_atom_site_occupancy
K1 K 0.0000 0.0000 0.0000 1
K2 K 0.5000 0.5000 0.0000 1
Hg1 Hg 0.2500 0.2500 0.5000 1
Hg2 Hg 0.2500 0.7500 0.5000 1
Hg3 Hg 0.7500 0.2500 0.5000 1
Hg4 Hg 0.7500 0.7500 0.5000 1
Pb1 Pb 0.0000 0.5000 0.0000 1
Pb2 Pb 0.5000 0.0000 0.0000 1
```


4.
# K3HgPb

A geometry-optimized K3HgPb structure (PBEsol, the Alexandria database).

Summary:
The value obtained for the density of states at the Fermi level is 0.83 states/eV per atom. As for the energy of formation: 130.9 meV/atom. Its calculated total energy is -1.462 eV/atom. The calculation puts the density at 2.9 g/cm³. The total moment is 0.84 μB/cell.

CIF file:
```
data_K3HgPb
_chemical_formula_sum 'K3 Hg1 Pb1'
_cell_length_a 6.7253
_cell_length_b 6.7253
_cell_length_c 6.7253
_cell_angle_alpha 90.00
_cell_angle_beta 90.00
_cell_angle_gamma 90.00
_symmetry_space_group_name_H-M 'P 1'
_symmetry_Int_Tables_number 1
_symmetry_space_group_name_Hall 'P 1'
loop_
_atom_site_label
_atom_site_type_symbol
_atom_site_fract_x
_atom_site_fract_y
_atom_site_fract_z
_atom_site_occupancy
K1 K 0.0000 0.0000 0.5000 1
K2 K 0.0000 0.5000 0.0000 1
K3 K 0.5000 0.0000 0.0000 1
Hg1 Hg 0.5000 0.5000 0.5000 1
Pb1 Pb 0.0000 0.0000 0.0000 1
```


Repeat the first record exactly.
# KHgPb

A geometry-optimized KHgPb structure (PBEsol, the Alexandria database).

Summary:
The value obtained for the density of states at the Fermi level is 0.30 states/eV per atom. As for the energy of formation: -175.0 meV/atom. Its calculated total energy is -2.075 eV/atom. The calculation puts the density at 8.4 g/cm³. The total moment is 0.00 μB/cell.

CIF file:
```
data_KHgPb
_chemical_formula_sum 'K1 Hg1 Pb1'
_cell_length_a 5.2511
_cell_length_b 5.2511
_cell_length_c 3.7127
_cell_angle_alpha 90.00
_cell_angle_beta 90.00
_cell_angle_gamma 120.00
_symmetry_space_group_name_H-M 'P 1'
_symmetry_Int_Tables_number 1
_symmetry_space_group_name_Hall 'P 1'
loop_
_atom_site_label
_atom_site_type_symbol
_atom_site_fract_x
_atom_site_fract_y
_atom_site_fract_z
_atom_site_occupancy
K1 K 0.0000 0.0000 0.0000 1
Hg1 Hg 0.6667 0.3333 0.5000 1
Pb1 Pb 0.3333 0.6667 0.5000 1
```


Question: What is the formula in the second record?
Answer: KHg2Pb


Copy entry 1 word for word.
# KHgPb

A geometry-optimized KHgPb structure (PBEsol, the Alexandria database).

Summary:
The value obtained for the density of states at the Fermi level is 0.30 states/eV per atom. As for the energy of formation: -175.0 meV/atom. Its calculated total energy is -2.075 eV/atom. The calculation puts the density at 8.4 g/cm³. The total moment is 0.00 μB/cell.

CIF file:
```
data_KHgPb
_chemical_formula_sum 'K1 Hg1 Pb1'
_cell_length_a 5.2511
_cell_length_b 5.2511
_cell_length_c 3.7127
_cell_angle_alpha 90.00
_cell_angle_beta 90.00
_cell_angle_gamma 120.00
_symmetry_space_group_name_H-M 'P 1'
_symmetry_Int_Tables_number 1
_symmetry_space_group_name_Hall 'P 1'
loop_
_atom_site_label
_atom_site_type_symbol
_atom_site_fract_x
_atom_site_fract_y
_atom_site_fract_z
_atom_site_occupancy
K1 K 0.0000 0.0000 0.0000 1
Hg1 Hg 0.6667 0.3333 0.5000 1
Pb1 Pb 0.3333 0.6667 0.5000 1
```